Here is YCdSi4 after structural relaxation from the Alexandria database. Energies are from PBE-GGA.

Values from the calculation:
DOS at the Fermi energy in states/eV per atom: 0.372
Total DFT energy (no corrections) in eV/f.u.: -29.36

Unit cell a=7.502 b=7.502 c=7.502 alpha=90.00 beta=90.00 gamma=90.00
Space group F-43m (No. 216)
Symmetry-distinct sites (fractional):
Y 0.000 0.000 0.000
Cd 0.250 0.250 0.750
Si 0.123 0.123 0.377

=====

Here is CeCoW after structural relaxation from the Alexandria database. Energies are from PBE-GGA.

Values from the calculation:
DOS at the Fermi energy in states/eV per atom: 1.609
Total DFT energy (no corrections) in eV/f.u.: -25.01
DFT formation energy in kJ/mol of formula units: 95.1

Unit cell a=5.783 b=6.879 c=6.073 alpha=90.00 beta=98.64 gamma=90.00
Space group C2/m (No. 12)
Symmetry-distinct sites (fractional):
Ce 0.247 0.000 0.144
Co 0.000 0.313 0.500
W 0.189 0.000 0.642

=====

Here is Zn7Cu5 after structural relaxation from the Alexandria database. Energies are from PBE-GGA.

Values from the calculation:
DOS at the Fermi energy in states/eV per atom: 0.483
Total DFT energy (no corrections) in eV/f.u.: -27.58
Excess energy over the best structure of this formula in the dataset in eV per atom: 0.207
DFT formation energy in kJ/mol of formula units: 175.2

Unit cell a=7.626 b=7.626 c=6.472 alpha=90.00 beta=90.00 gamma=90.00
Space group I4mm (No. 107)
Symmetry-distinct sites (fractional):
Zn 0.000 0.000 0.000
Zn 0.000 0.239 0.331
Zn 0.000 0.500 0.086
Cu 0.000 0.000 0.617
Cu 0.239 0.239 0.600

=====

Here is CaHo2Hg3 after structural relaxation from the Alexandria database. Energies are from PBE-GGA.

Values from the calculation:
DOS at the Fermi energy in states/eV per atom: 0.472
Total DFT energy (no corrections) in eV/f.u.: -15.18
Excess energy over the best structure of this formula in the dataset in eV per atom: 0.000
DFT formation energy in kJ/mol of formula units: -300.3

Unit cell a=3.713 b=3.713 c=11.301 alpha=90.00 beta=90.00 gamma=90.00
Space group P4/mmm (No. 123)
Symmetry-distinct sites (fractional):
Ca 0.000 0.000 0.000
Ho 0.000 0.000 0.337
Hg 0.500 0.500 0.178
Hg 0.500 0.500 0.500

=====

Here is La12PrY7 after structural relaxation from the Alexandria database. Energies are from PBE-GGA.

Values from the calculation:
DOS at the Fermi energy in states/eV per atom: 1.815
Total DFT energy (no corrections) in eV/f.u.: -107.49
Excess energy over the best structure of this formula in the dataset in eV per atom: 0.000
DFT formation energy in kJ/mol of formula units: 161.2

Unit cell a=13.7413 b=13.7413 c=13.0042 alpha=90.00 beta=90.00 gamma=120.00
Space group R-3m (No. 166, hexagonal axes)
Symmetry-distinct sites (fractional):
La 0.0000 0.2602 0.0000
La 0.0897 0.1793 0.7655
Pr 0.0000 0.0000 0.5000
Y 0.0000 0.0000 0.0000
Y 0.0449 0.5225 0.1188

=====

Here is Sc3TaP after structural relaxation from the Alexandria database. Energies are from PBE-GGA.

Values from the calculation:
DOS at the Fermi energy in states/eV per atom: 0.762
Total DFT energy (no corrections) in eV/f.u.: -32.21
Excess energy over the best structure of this formula in the dataset in eV per atom: 0.769
DFT formation energy in kJ/mol of formula units: 390.2

Unit cell a=5.035 b=5.035 c=5.035 alpha=90.00 beta=90.00 gamma=90.00
Space group Pm-3m (No. 221)
Symmetry-distinct sites (fractional):
Sc 0.000 0.000 0.500
Ta 0.000 0.000 0.000
P 0.500 0.500 0.500

=====

Here is Sr6BiSb2P after structural relaxation from the Alexandria database. Energies are from PBE-GGA.

Values from the calculation:
Total DFT energy (no corrections) in eV/f.u.: -37.30

Unit cell a=8.048 b=8.638 c=13.961 alpha=90.00 beta=124.53 gamma=90.00
Space group P2_1/c (No. 14)
Symmetry-distinct sites (fractional):
Sr 0.094 0.072 0.238
Sr 0.251 0.702 0.077
Sr 0.367 0.177 0.064
Bi 0.500 0.000 0.500
Sb 0.281 0.079 0.755
P 0.000 0.000 0.000

=====

Here is Ca5Zr after structural relaxation from the Alexandria database. Energies are from PBE-GGA.

Values from the calculation:
DOS at the Fermi energy in states/eV per atom: 1.171
Total DFT energy (no corrections) in eV/f.u.: -17.19
Excess energy over the best structure of this formula in the dataset in eV per atom: 0.011
DFT formation energy in kJ/mol of formula units: 132.2

Unit cell a=6.090 b=3.653 c=19.820 alpha=90.00 beta=90.00 gamma=90.00
Space group Amm2 (No. 38)
Symmetry-distinct sites (fractional):
Ca 0.000 0.000 0.000
Ca 0.000 0.000 0.311
Ca 0.500 0.000 0.100
Ca 0.500 0.000 0.427
Ca 0.500 0.000 0.754
Zr 0.000 0.000 0.656

=====

Here is Ta2BeAl after structural relaxation from the Alexandria database. Energies are from PBE-GGA.

Values from the calculation:
DOS at the Fermi energy in states/eV per atom: 0.444
Total DFT energy (no corrections) in eV/f.u.: -31.40
Excess energy over the best structure of this formula in the dataset in eV per atom: 0.120
DFT formation energy in kJ/mol of formula units: -22.2

Unit cell a=3.969 b=3.969 c=7.804 alpha=90.00 beta=90.00 gamma=90.00
Space group I4/mmm (No. 139)
Symmetry-distinct sites (fractional):
Ta 0.000 0.500 0.250
Be 0.000 0.000 0.000
Al 0.000 0.000 0.500

=====

Here is Ho8As3Se4N after structural relaxation from the Alexandria database. Energies are from PBE-GGA.

Values from the calculation:
DOS at the Fermi energy in states/eV per atom: 0.337
Total DFT energy (no corrections) in eV/f.u.: -99.07

Unit cell a=7.9846 b=7.9846 c=19.8599 alpha=90.00 beta=90.00 gamma=120.00
Space group R-3m (No. 166, hexagonal axes)
Symmetry-distinct sites (fractional):
Ho 0.0000 0.0000 0.2464
Ho 0.0271 0.5135 0.2401
As 0.0000 0.5000 0.5000
Se 0.0000 0.0000 0.0000
Se 0.0000 0.5000 0.0000
N 0.0000 0.0000 0.5000

=====

Here is TaMn2HRu after structural relaxation from the Alexandria database. Energies are from PBE-GGA.

Values from the calculation:
DOS at the Fermi energy in states/eV per atom: 0.698
Total DFT energy (no corrections) in eV/f.u.: -43.17
Excess energy over the best structure of this formula in the dataset in eV per atom: 0.012

Unit cell a=3.724 b=3.724 c=4.167 alpha=90.00 beta=90.00 gamma=90.00
Space group P4/mmm (No. 123)
Symmetry-distinct sites (fractional):
Ta 0.000 0.000 0.000
Mn 0.000 0.500 0.500
H 0.000 0.000 0.500
Ru 0.500 0.500 0.000

=====

Here is CoNi2Mo after structural relaxation from the Alexandria database. Energies are from PBE-GGA.

Values from the calculation:
DOS at the Fermi energy in states/eV per atom: 0.892
Total DFT energy (no corrections) in eV/f.u.: -29.70
Excess energy over the best structure of this formula in the dataset in eV per atom: 0.000
DFT formation energy in kJ/mol of formula units: -19.6

Unit cell a=5.020 b=8.953 c=4.206 alpha=90.00 beta=90.00 gamma=90.00
Space group Cmcm (No. 63)
Symmetry-distinct sites (fractional):
Co 0.000 0.170 0.250
Ni 0.248 0.077 0.750
Mo 0.000 0.326 0.750

=====

no.,total magnetic moment (μB per cell)
1,0.00
2,0.00
3,0.00
4,0.00
5,0.00
6,0.00
7,0.00
8,4.55
9,0.00
10,0.00
11,4.01
12,0.00